[1]
## SmHo3Ag3 (PBE)

Data for an optimized crystal structure of SmHo3Ag3.

a b c (Å): 7.3344 7.3344 6.9357
angles (deg): 90.30 90.30 94.03
With the nearest neighbours (Å) after each atom.
Atoms (fractional coordinates):
Sm: 0.7448 0.7448 0.8405  3 Ag 2.96-3.02
Sm: 0.2552 0.2552 0.1595  3 Ag 2.96-3.02
Ho: 0.6172 0.6172 0.3313  3 Ag 2.90-3.23
Ho: 0.1861 0.8139 0.5000  6 Ag 2.94-3.16
Ho: 0.8139 0.1861 0.5000  6 Ag 2.94-3.16
Ho: 0.2567 0.7433 0.0000  6 Ag 3.09-3.17
Ho: 0.7433 0.2567 0.0000  6 Ag 3.09-3.17
Ho: 0.3828 0.3828 0.6687  3 Ag 2.90-3.23
Ag: 0.9244 0.9244 0.1928  5 Ho 3.01-3.23, 2 Sm 3.02-3.32, 3 Ag 3.06-3.08
Ag: 0.0095 0.4761 0.7304  5 Ho 2.90-3.17, 1 Sm 2.96, 2 Ag 3.06-3.22
Ag: 0.4761 0.0095 0.7304  5 Ho 2.90-3.17, 1 Sm 2.96, 2 Ag 3.06-3.22
Ag: 0.9905 0.5239 0.2696  5 Ho 2.90-3.17, 1 Sm 2.96, 2 Ag 3.06-3.22
Ag: 0.5239 0.9905 0.2696  5 Ho 2.90-3.17, 1 Sm 2.96, 2 Ag 3.06-3.22
Ag: 0.0756 0.0756 0.8072  5 Ho 3.01-3.23, 2 Sm 3.02-3.32, 3 Ag 3.06-3.08

Energy of formation = -0.1442 eV per atom

[2]
## LiAc2Os (PBE)

Data for an optimized crystal structure of LiAc2Os.

a b c (Å): 3.7249 3.7249 8.7681
angles (deg): 90.00 90.00 90.00
With the nearest neighbours (Å) after each atom.
Atoms (fractional coordinates):
Ac: 0.0000 0.0000 0.7970  4 Os 3.18, 1 Ac 3.56
Ac: 0.0000 0.0000 0.2030  4 Os 3.18, 1 Ac 3.56
Os: 0.5000 0.5000 0.0000  8 Ac 3.18
Li: 0.5000 0.5000 0.5000  8 Ac 3.70, 4 Li 3.72

Energy of formation = 0.1310 eV per atom

[3]
## ReWSe (PBE)

Data for an optimized crystal structure of ReWSe.

a b c (Å): 2.9943 3.0542 12.5910
angles (deg): 90.00 90.00 119.35
With the nearest neighbours (Å) after each atom.
Atoms (fractional coordinates):
W: 0.4540 0.9079 0.0000  6 Re 2.55-2.75
W: 0.4110 0.8221 0.5000  6 Se 2.54-2.56
Se: 0.7373 0.4747 0.3526  3 W 2.54-2.56
Se: 0.7373 0.4747 0.6474  3 W 2.54-2.56
Re: 0.1635 0.3269 0.8395  3 W 2.55-2.75
Re: 0.1635 0.3269 0.1605  3 W 2.55-2.75

Energy relative to the elements, uncorrected = 0.427 eV/atom
Energy above the most stable polymorph in this dataset = 103 meV/atom